[1]
# Rb2CuMoOs PBE-GGA relaxed
data_Rb2CuMoOs
_chemical_formula_sum 'Rb2 Cu1 Mo1 Os1'
_cell_length_a 6.521
_cell_length_b 6.521
_cell_length_c 4.780
_cell_angle_alpha 90.00
_cell_angle_beta 90.00
_cell_angle_gamma 90.00
_symmetry_space_group_name_H-M 'P 4/m m m'
_symmetry_Int_Tables_number 123
_symmetry_space_group_name_Hall '-P 4 2'
loop_
_atom_site_label
_atom_site_type_symbol
_atom_site_fract_x
_atom_site_fract_y
_atom_site_fract_z
Rb1 Rb 0.000 0.500 0.000
Cu1 Cu 0.000 0.000 0.500
Mo1 Mo 0.500 0.500 0.500
Os1 Os 0.000 0.000 0.000
# ΔH_f (0 K)	2.11	eV/atom

---

[2]
# CuMo2OsRh PBE-GGA relaxed
data_CuMo2OsRh
_chemical_formula_sum 'Cu1 Mo2 Os1 Rh1'
_cell_length_a 4.660
_cell_length_b 4.660
_cell_length_c 4.681
_cell_angle_alpha 90.00
_cell_angle_beta 90.00
_cell_angle_gamma 90.00
_symmetry_space_group_name_H-M 'P 4/m m m'
_symmetry_Int_Tables_number 123
_symmetry_space_group_name_Hall '-P 4 2'
loop_
_atom_site_label
_atom_site_type_symbol
_atom_site_fract_x
_atom_site_fract_y
_atom_site_fract_z
Cu1 Cu 0.000 0.000 0.000
Mo1 Mo 0.000 0.500 0.500
Os1 Os 0.500 0.500 0.000
Rh1 Rh 0.500 0.500 0.500
# ΔH_f (0 K)	2.04	eV/atom

---

[3]
# CuMoOs2Rh PBE-GGA relaxed
data_CuMoOs2Rh
_chemical_formula_sum 'Cu1 Mo1 Os2 Rh1'
_cell_length_a 4.630
_cell_length_b 4.630
_cell_length_c 4.573
_cell_angle_alpha 90.00
_cell_angle_beta 90.00
_cell_angle_gamma 90.00
_symmetry_space_group_name_H-M 'P 4/m m m'
_symmetry_Int_Tables_number 123
_symmetry_space_group_name_Hall '-P 4 2'
loop_
_atom_site_label
_atom_site_type_symbol
_atom_site_fract_x
_atom_site_fract_y
_atom_site_fract_z
Cu1 Cu 0.000 0.000 0.000
Mo1 Mo 0.000 0.000 0.500
Os1 Os 0.000 0.500 0.500
Rh1 Rh 0.500 0.500 0.000
# ΔH_f (0 K)	2.11	eV/atom

---

[4]
# ScCuMoOs PBE-GGA relaxed
data_ScCuMoOs
_chemical_formula_sum 'Sc4 Cu4 Mo4 Os4'
_cell_length_a 6.299
_cell_length_b 6.299
_cell_length_c 6.299
_cell_angle_alpha 90.00
_cell_angle_beta 90.00
_cell_angle_gamma 90.00
_symmetry_space_group_name_H-M 'F -4 3 m'
_symmetry_Int_Tables_number 216
_symmetry_space_group_name_Hall 'F -4 2 3'
loop_
_atom_site_label
_atom_site_type_symbol
_atom_site_fract_x
_atom_site_fract_y
_atom_site_fract_z
Sc1 Sc 0.000 0.000 0.000
Cu1 Cu 0.250 0.250 0.250
Mo1 Mo 0.000 0.000 0.500
Os1 Os 0.250 0.250 0.750
# ΔH_f (0 K)	-0.06	eV/atom

---

[5]
# ScCu2MoOs PBE-GGA relaxed
data_ScCu2MoOs
_chemical_formula_sum 'Sc1 Cu2 Mo1 Os1'
_cell_length_a 4.421
_cell_length_b 4.421
_cell_length_c 4.530
_cell_angle_alpha 90.00
_cell_angle_beta 90.00
_cell_angle_gamma 90.00
_symmetry_space_group_name_H-M 'P 4/m m m'
_symmetry_Int_Tables_number 123
_symmetry_space_group_name_Hall '-P 4 2'
loop_
_atom_site_label
_atom_site_type_symbol
_atom_site_fract_x
_atom_site_fract_y
_atom_site_fract_z
Sc1 Sc 0.000 0.000 0.000
Cu1 Cu 0.000 0.500 0.000
Mo1 Mo 0.000 0.000 0.500
Os1 Os 0.500 0.500 0.500
# ΔH_f (0 K)	1.96	eV/atom

---

[6]
# Cu2SnMoOs PBE-GGA relaxed
data_Cu2SnMoOs
_chemical_formula_sum 'Cu2 Sn1 Mo1 Os1'
_cell_length_a 4.629
_cell_length_b 4.629
_cell_length_c 4.991
_cell_angle_alpha 90.00
_cell_angle_beta 90.00
_cell_angle_gamma 90.00
_symmetry_space_group_name_H-M 'P 4/m m m'
_symmetry_Int_Tables_number 123
_symmetry_space_group_name_Hall '-P 4 2'
loop_
_atom_site_label
_atom_site_type_symbol
_atom_site_fract_x
_atom_site_fract_y
_atom_site_fract_z
Cu1 Cu 0.000 0.500 0.000
Sn1 Sn 0.000 0.000 0.000
Mo1 Mo 0.500 0.500 0.500
Os1 Os 0.000 0.000 0.500
# ΔH_f (0 K)	1.80	eV/atom

---

[7]
# CuSnMo2Os PBE-GGA relaxed
data_CuSnMo2Os
_chemical_formula_sum 'Cu1 Sn1 Mo2 Os1'
_cell_length_a 4.898
_cell_length_b 4.898
_cell_length_c 4.799
_cell_angle_alpha 90.00
_cell_angle_beta 90.00
_cell_angle_gamma 90.00
_symmetry_space_group_name_H-M 'P 4/m m m'
_symmetry_Int_Tables_number 123
_symmetry_space_group_name_Hall '-P 4 2'
loop_
_atom_site_label
_atom_site_type_symbol
_atom_site_fract_x
_atom_site_fract_y
_atom_site_fract_z
Cu1 Cu 0.000 0.000 0.000
Sn1 Sn 0.500 0.500 0.500
Mo1 Mo 0.000 0.500 0.500
Os1 Os 0.500 0.500 0.000
# ΔH_f (0 K)	2.56	eV/atom

---

[8]
# CuTcMoOs2 PBE-GGA relaxed
data_CuTcMoOs2
_chemical_formula_sum 'Cu1 Tc1 Mo1 Os2'
_cell_length_a 4.663
_cell_length_b 4.663
_cell_length_c 4.648
_cell_angle_alpha 90.00
_cell_angle_beta 90.00
_cell_angle_gamma 90.00
_symmetry_space_group_name_H-M 'P 4/m m m'
_symmetry_Int_Tables_number 123
_symmetry_space_group_name_Hall '-P 4 2'
loop_
_atom_site_label
_atom_site_type_symbol
_atom_site_fract_x
_atom_site_fract_y
_atom_site_fract_z
Cu1 Cu 0.000 0.000 0.000
Tc1 Tc 0.500 0.500 0.500
Mo1 Mo 0.500 0.500 0.000
Os1 Os 0.000 0.500 0.500
# ΔH_f (0 K)	2.12	eV/atom